Record 1
Pr8SiP3I4 | PBE | relaxed

The structure in extended XYZ format:
```
16
Lattice="8.5670 0.0000 0.0000 0.0000 9.2096 0.4549 -4.2835 -4.2850 6.0569" Properties=species:S:1:pos:R:3 pbc="T T T"
P 2.1417 2.4623 3.2559
P 4.2835 4.6048 0.2274
P -2.1417 2.4623 3.2559
I 0.0000 0.0000 0.0000
I 2.1417 -2.1425 3.0284
I -2.1417 -2.1425 3.0284
I 4.2835 0.0000 0.0000
Pr 2.1188 2.2552 6.1234
Pr 6.4023 2.6694 0.3883
Pr 0.0000 4.3751 3.1275
Pr 4.2835 4.3719 3.0926
Pr -2.1188 2.2552 6.1234
Pr 2.1646 2.6694 0.3883
Pr 4.2835 0.5495 3.3843
Pr 0.0000 0.5527 3.4192
Si 0.0000 4.6048 0.2274
```

---

Record 2
Pr4SiPI2 | PBE | relaxed

The structure in extended XYZ format:
```
8
Lattice="4.3050 0.0000 0.0000 0.0000 7.4367 0.1271 0.0000 -2.6226 7.7690" Properties=species:S:1:pos:R:3 pbc="T T T"
I 2.1525 -1.3113 3.8845
I 0.0000 2.4071 3.9480
Si 0.0000 0.0000 0.0000
Pr 0.0000 -0.0946 6.3166
Pr 0.0000 4.9087 1.5794
Pr 2.1525 3.5805 6.3548
Pr 2.1525 1.2337 1.5413
P 2.1525 3.7184 0.0635
```

---

Record 3
PrSmPI | PBE | relaxed

The structure in extended XYZ format:
```
4
Lattice="4.1720 -0.0007 -0.0002 -2.0857 3.6140 -0.0001 -2.0854 -1.2041 7.7353" Properties=species:S:1:pos:R:3 pbc="T T T"
Pr 0.3944 -0.2644 5.2075
Sm -1.6914 3.3498 0.4625
P -1.6914 0.9405 6.7888
I 2.4799 0.9403 2.7768
```

---

Taking the records one at a time from the top gives raw formation energy values of -1.2730, -1.1713, -1.3683 eV per atom.
Taking the records one at a time from the top gives energy values of -86.5, -42.4, -21.9 eV/cell.